Record 1
DFT (PBE) results for a geometry-optimized Li2TlIr structure.

Lattice parameters (Å, degrees): 3.276 3.276 6.124 90.00 90.00 90.00
Fractional positions:
Li: 0.000 0.000 0.000
Li: 0.500 0.500 0.242
Tl: 0.000 0.000 0.526
Ir: 0.500 0.500 0.802

## Properties
* energy relative to the elements: 1.9 kJ/mol of atoms
* N(E_F): 0.785 states/eV per cell
* calculated volume: 16.4 Å³ per atom

Record 2
DFT (PBE) results for a geometry-optimized LiTlIr2 structure.

Lattice parameters (Å, degrees): 6.322 6.322 6.322 154.07 138.72 49.40
Fractional positions:
Li: 0.000 0.000 0.000
Tl: 0.279 0.779 0.500
Ir: 0.494 0.494 0.000
Ir: 0.678 0.178 0.500

## Properties
* energy relative to the elements: 25.8 kJ/mol of atoms
* N(E_F): 3.363 states/eV per cell
* calculated volume: 18.2 Å³ per atom

Record 3
DFT (PBE) results for a geometry-optimized LiTlIr2 structure.

Lattice parameters (Å, degrees): 4.785 4.785 4.936 98.66 98.66 34.97
Fractional positions:
Li: 0.000 0.000 0.000
Tl: 0.500 0.500 0.500
Ir: 0.256 0.256 0.779
Ir: 0.744 0.744 0.221

## Properties
* energy relative to the elements: 14.2 kJ/mol of atoms
* N(E_F): 2.290 states/eV per cell
* calculated volume: 16.0 Å³ per atom

Record 4
DFT (PBE) results for a geometry-optimized LiTlIr2 structure.

Lattice parameters (Å, degrees): 2.778 2.778 9.946 90.00 90.00 118.07
Fractional positions:
Li: 0.000 0.000 0.000
Tl: 0.000 0.000 0.500
Ir: 0.500 0.500 0.221
Ir: 0.500 0.500 0.779

## Properties
* energy relative to the elements: 44.9 kJ/mol of atoms
* N(E_F): 5.926 states/eV per cell
* calculated volume: 16.9 Å³ per atom

Record 5
DFT (PBE) results for a geometry-optimized Li2TlIr structure.

Lattice parameters (Å, degrees): 2.896 2.896 8.169 90.00 90.00 90.00
Fractional positions:
Li: 0.000 0.000 0.202
Li: 0.000 0.000 0.798
Tl: 0.500 0.500 0.500
Ir: 0.500 0.500 0.000

## Properties
* energy relative to the elements: 4.5 kJ/mol of atoms
* N(E_F): 3.002 states/eV per cell
* calculated volume: 17.1 Å³ per atom

Record 6
DFT (PBE) results for a geometry-optimized LiTlIr2 structure.

Lattice parameters (Å, degrees): 2.858 4.274 5.368 90.00 105.18 90.00
Fractional positions:
Li: 0.000 0.000 0.000
Tl: 0.000 0.000 0.500
Ir: 0.368 0.500 0.216
Ir: 0.632 0.500 0.784

## Properties
* energy relative to the elements: 17.3 kJ/mol of atoms
* N(E_F): 2.465 states/eV per cell
* calculated volume: 15.8 Å³ per atom

Record 7
DFT (PBE) results for a geometry-optimized Li2TlIr structure.

Lattice parameters (Å, degrees): 3.258 4.474 4.485 90.00 90.00 90.00
Fractional positions:
Li: 0.000 0.000 0.000
Li: 0.500 0.500 0.000
Tl: 0.000 0.500 0.500
Ir: 0.500 0.000 0.500

## Properties
* energy relative to the elements: -1.4 kJ/mol of atoms
* N(E_F): 1.927 states/eV per cell
* calculated volume: 16.3 Å³ per atom

Record 8
DFT (PBE) results for a geometry-optimized Li2TlIr structure.

Lattice parameters (Å, degrees): 9.445 9.445 9.445 18.04 18.04 18.04
Fractional positions:
Li: 0.239 0.239 0.239
Li: 0.761 0.761 0.761
Tl: 0.000 0.000 0.000
Ir: 0.500 0.500 0.500

## Properties
* energy relative to the elements: 11.3 kJ/mol of atoms
* N(E_F): 4.999 states/eV per cell
* calculated volume: 17.6 Å³ per atom

Look up the calculated volume of the third one.
16.0 Å³ per atom